! Ta2CoF (PBE+U, relaxed); values from VASP
! Total magnetic moment ... 0.0 μB/f.u.
! DOS(E_F) ... 2.0 states/eV/cell
! E above lowest polymorph ... 142 kJ/mol of formula units
&SYSTEM
  ibrav = 0, nat = 8, ntyp = 3
/
ATOMIC_SPECIES
F 19.00 F.upf
Co 58.93 Co.upf
Ta 180.95 Ta.upf
ATOMIC_POSITIONS crystal
F 0.500 0.500 0.000
F 0.250 0.750 0.500
Co 0.000 0.000 0.000
Co 0.750 0.250 0.500
Ta 0.601 0.125 0.250
Ta 0.149 0.625 0.250
Ta 0.375 0.399 0.750
Ta 0.875 0.851 0.750
CELL_PARAMETERS angstrom
-3.082 3.141 -0.445
-0.667 -0.036 4.372
2.751 6.198 2.707